a | First-principles (PBE) data for crystalline Pr3Al4Ag4 at its relaxed geometry, as listed in the Alexandria database.

Geometry as extended XYZ:
```
11
Lattice="-2.3496 -0.0361 3.1139 -2.4838 -3.4103 -1.9082 5.8169 -11.1516 6.6979" Properties=species:S:1:pos:R:3 pbc="T T T"
Pr 2.1717 -10.1018 3.9654
Pr -1.1884 -4.4962 3.9381
Pr 0.0000 -0.0001 0.0000
Al 2.6039 -11.9634 6.7153
Al -1.6206 -2.6346 1.1883
Al -0.5151 -7.0312 1.9745
Al 1.4984 -7.5667 5.9291
Ag 3.0692 -9.3667 7.0912
Ag 1.6020 -6.3248 3.5769
Ag -0.6187 -8.2732 4.3266
Ag -2.0859 -5.2313 0.8124
```

Total magnetic moment ... 0.00 μB per formula unit


b | First-principles (PBE) data for crystalline Pr3Al4Ag4 at its relaxed geometry, as listed in the Alexandria database.

Geometry as extended XYZ:
```
11
Lattice="-0.2954 -2.0149 3.4667 4.1387 -1.6030 -0.5744 7.1924 9.2912 8.3486" Properties=species:S:1:pos:R:3 pbc="T T T"
Pr 7.7003 5.2080 6.0214
Pr 3.3356 0.4653 5.2197
Pr 7.1924 9.2911 8.3485
Al 6.0155 6.1180 8.7377
Al 4.5285 3.6717 4.8560
Al 6.5074 2.0015 6.3850
Al 5.0204 -0.4448 2.5033
Ag 8.5857 6.3723 9.1076
Ag 2.4501 -0.6993 2.1333
Ag 6.0146 1.6422 3.8032
Ag 5.0213 4.0310 7.4378
```

Total magnetic moment ... 0.00 μB per formula unit


a is favored, and the nearest alternative lies 13 meV per atom above it.


a | First-principles (PBE) data for crystalline Pr3AlAg at its relaxed geometry, as listed in the Alexandria database.

Geometry as extended XYZ:
```
10
Lattice="5.2475 0.0000 1.1992 0.0000 5.3923 0.0000 0.3973 0.0000 10.3422" Properties=species:S:1:pos:R:3 pbc="T T T"
Pr 4.0493 1.3481 2.1944
Pr 2.4033 1.3481 9.3971
Pr 3.2205 1.3481 5.8211
Pr 1.3963 4.0442 1.7226
Pr 4.9978 4.0442 10.1245
Pr 0.5791 4.0442 5.2986
Al 3.6376 4.0442 3.9957
Al 5.4095 1.3481 8.3232
Ag 2.7953 4.0442 7.6816
Ag 1.0042 1.3481 3.4381
```

Total magnetic moment ... 0.12 μB per formula unit


b | First-principles (PBE) data for crystalline Pr3AlAg at its relaxed geometry, as listed in the Alexandria database.

Geometry as extended XYZ:
```
20
Lattice="-1.5318 -8.9081 0.6087 2.1955 -6.2812 6.1480 -8.2116 -3.8067 7.3307" Properties=species:S:1:pos:R:3 pbc="T T T"
Pr -6.2986 -14.8362 10.6055
Pr -5.8914 -6.4411 6.3503
Pr -1.2493 -4.1598 3.4819
Pr -1.6566 -12.5549 7.7371
Pr -4.8623 -11.7280 9.3716
Pr -6.3598 -8.8672 9.0225
Pr -2.6856 -7.2680 4.7158
Pr -1.1881 -10.1289 5.0648
Pr 1.0363 -7.1583 5.1139
Pr -2.5400 -8.5683 8.1889
Pr -5.0079 -10.4278 5.8984
Pr -8.5842 -11.8378 8.9735
Al 0.3406 -2.2445 1.4319
Al -3.3041 -14.5109 9.7015
Al -7.8886 -16.7516 12.6554
Al -4.2438 -4.4852 4.3859
Ag -3.0081 -5.0440 6.7393
Ag -0.7659 -4.4541 0.3044
Ag -3.3920 -9.7240 2.7278
Ag -4.1559 -9.2721 11.3596
```

Total magnetic moment ... 0.00 μB per formula unit


a is favored, and the nearest alternative lies 71 meV per atom above it.


a | First-principles (PBE) data for crystalline Pr6AlAg at its relaxed geometry, as listed in the Alexandria database.

Geometry as extended XYZ:
```
8
Lattice="0.6507 0.8097 5.1969 4.0476 -3.4211 0.0334 8.0572 5.4393 0.8442" Properties=species:S:1:pos:R:3 pbc="T T T"
Pr 7.5846 0.8025 4.3322
Pr 7.1743 4.4158 3.8175
Pr 8.8724 2.3007 1.2362
Pr 5.5812 -1.5878 2.2569
Pr 5.1709 2.0255 1.7423
Pr 3.8831 0.5273 4.8382
Al 2.3492 -1.3057 2.6151
Ag 0.0000 0.0000 0.0000
```

Total magnetic moment ... 0.00 μB per formula unit


b | First-principles (PBE) data for crystalline Pr6AlAg at its relaxed geometry, as listed in the Alexandria database.

Geometry as extended XYZ:
```
8
Lattice="8.6407 0.2999 -0.1894 4.5611 7.9547 -0.0157 4.3008 2.8152 3.6345" Properties=species:S:1:pos:R:3 pbc="T T T"
Pr 14.0197 6.7265 2.4664
Pr 14.4717 10.2711 2.8577
Pr 6.8740 2.7897 0.7162
Pr 3.0309 0.7986 0.5718
Pr 3.4829 4.3432 0.9631
Pr 10.6286 8.2800 2.7133
Al 8.7513 5.5348 1.7147
Ag 0.0000 0.0000 0.0000
```

Total magnetic moment ... 0.00 μB per formula unit


a is favored, and the nearest alternative lies 80 meV per atom above it.


a | First-principles (PBE) data for crystalline Pr2Al3Ag2 at its relaxed geometry, as listed in the Alexandria database.

Geometry as extended XYZ:
```
14
Lattice="4.3202 0.0000 -1.0300 0.0000 7.5067 0.0000 0.0862 0.0000 9.9369" Properties=species:S:1:pos:R:3 pbc="T T T"
Pr 0.7043 1.8767 2.9543
Pr 3.7021 5.6300 5.9527
Pr 4.1580 1.8767 7.8653
Pr 0.2483 5.6300 1.0417
Al 1.0091 5.6300 4.2328
Al 3.3972 1.8767 4.6742
Al 2.4244 3.1813 0.5938
Al 1.9819 4.3254 8.3131
Al 1.9819 6.9346 8.3131
Al 2.4244 0.5720 0.5938
Ag 3.0092 7.0900 3.0468
Ag 1.3971 0.4167 5.8602
Ag 1.3971 3.3367 5.8602
Ag 3.0092 4.1700 3.0468
```

Total magnetic moment ... 0.00 μB per formula unit


b | First-principles (PBE) data for crystalline Pr2Al3Ag2 at its relaxed geometry, as listed in the Alexandria database.

Geometry as extended XYZ:
```
7
Lattice="4.5665 0.0000 0.0000 -2.2833 5.4663 -0.1267 0.0000 -2.6783 6.3402" Properties=species:S:1:pos:R:3 pbc="T T T"
Pr 2.2833 3.1914 1.3242
Pr 0.0000 -0.4034 4.8893
Al 2.2833 0.0000 0.0000
Al 2.2833 -0.0963 2.6793
Al 0.0000 2.8842 3.5342
Ag 2.2833 1.8833 4.6294
Ag 0.0000 0.9047 1.5841
```

Total magnetic moment ... 0.00 μB per formula unit


b is favored, and the nearest alternative lies 14 meV per atom above it.


a | First-principles (PBE) data for crystalline PrSmAlAg at its relaxed geometry, as listed in the Alexandria database.

Geometry as extended XYZ:
```
4
Lattice="-2.1272 -0.1421 -2.9700 -2.3331 -2.1840 1.7755 -3.9261 6.2374 2.5136" Properties=species:S:1:pos:R:3 pbc="T T T"
Pr -3.3393 5.3052 2.1379
Sm -1.4056 2.2332 0.8999
Al -4.5800 2.5702 0.9072
Ag -2.7047 -0.4091 -0.2934
```

Total magnetic moment ... 0.00 μB per formula unit


b | First-principles (PBE) data for crystalline PrSmAlAg at its relaxed geometry, as listed in the Alexandria database.

Geometry as extended XYZ:
```
4
Lattice="5.3137 0.0000 0.0000 2.6568 4.6018 0.0000 2.6568 1.5339 4.3386" Properties=species:S:1:pos:R:3 pbc="T T T"
Pr 5.3137 3.0679 2.1693
Ag 7.9705 4.6018 3.2540
Sm 0.0000 0.0000 0.0000
Al 2.6568 1.5339 1.0847
```

Total magnetic moment ... 0.00 μB per formula unit


a is favored, and the nearest alternative lies 31 meV per atom above it.


a | First-principles (PBE) data for crystalline PrTmAlAg at its relaxed geometry, as listed in the Alexandria database.

Geometry as extended XYZ:
```
4
Lattice="-3.7917 -2.7813 -2.2910 1.2230 -3.8263 -3.3505 -0.7566 -4.9973 1.3476" Properties=species:S:1:pos:R:3 pbc="T T T"
Pr -1.6627 -5.8025 -2.1470
Tm 0.0000 0.0000 0.0000
Al -2.4941 -8.7037 -3.2204
Ag -0.8314 -2.9012 -1.0735
```

Total magnetic moment ... 0.00 μB per formula unit


b | First-principles (PBE) data for crystalline PrTmAlAg at its relaxed geometry, as listed in the Alexandria database.

Geometry as extended XYZ:
```
4
Lattice="-2.6737 1.8363 1.5471 -2.3516 -2.4707 -1.1314 1.0367 -3.9591 6.4908" Properties=species:S:1:pos:R:3 pbc="T T T"
Pr 0.8795 -3.3588 5.5066
Tm 0.3654 -1.3955 2.2878
Al -1.9053 -2.6367 4.0106
Ag -2.3662 -0.8764 1.1247
```

Total magnetic moment ... 0.00 μB per formula unit


b is favored, and the nearest alternative lies 44 meV per atom above it.


a | First-principles (PBE) data for crystalline PrYAlAg at its relaxed geometry, as listed in the Alexandria database.

Geometry as extended XYZ:
```
4
Lattice="3.6188 0.0000 0.0000 0.0000 3.6188 0.0000 0.0000 0.0000 7.7412" Properties=species:S:1:pos:R:3 pbc="T T T"
Pr 0.0000 0.0000 6.5795
Y 0.0000 0.0000 2.7482
Al 1.8094 1.8094 4.5775
Ag 1.8094 1.8094 1.0197
```

Total magnetic moment ... 0.00 μB per formula unit


b | First-principles (PBE) data for crystalline PrYAlAg at its relaxed geometry, as listed in the Alexandria database.

Geometry as extended XYZ:
```
4
Lattice="-4.0457 3.1198 -1.2905 -3.3800 -1.4879 -3.7587 -4.9169 -1.3964 1.2807" Properties=species:S:1:pos:R:3 pbc="T T T"
Pr -3.0857 0.0589 -0.9421
Y -9.2570 0.1767 -2.8264
Al 0.0000 0.0000 0.0000
Ag -6.1713 0.1178 -1.8842
```

Total magnetic moment ... 0.00 μB per formula unit


a is favored, and the nearest alternative lies 31 meV per atom above it.


a | First-principles (PBE) data for crystalline Al2AgPt at its relaxed geometry, as listed in the Alexandria database.

Geometry as extended XYZ:
```
4
Lattice="4.2970 0.0017 0.0008 -4.3566 5.4500 0.1197 -0.0075 2.0038 2.6844" Properties=species:S:1:pos:R:3 pbc="T T T"
Ag 2.1447 1.0027 1.3426
Pt -0.0298 2.7259 0.0603
Al 0.0000 0.0000 0.0000
Al -2.1820 3.7269 1.4021
```

Total magnetic moment ... 0.00 μB per formula unit


b | First-principles (PBE) data for crystalline Al2AgPt at its relaxed geometry, as listed in the Alexandria database.

Geometry as extended XYZ:
```
4
Lattice="8.9782 0.0273 0.0161 8.4972 2.8992 0.0161 8.4972 1.4230 2.5260" Properties=species:S:1:pos:R:3 pbc="T T T"
Ag 19.4231 3.2526 1.9130
Pt 13.1745 2.2062 1.2976
Al 25.9181 4.3403 2.5527
Al 6.4159 1.0744 0.6319
```

Total magnetic moment ... 0.00 μB per formula unit


a is favored, and the nearest alternative lies 178 meV per atom above it.